1.
Pr4Ho7Th: relaxed, PBE.

Cell and atoms, written as POSCAR:
```
Pr4Ho7Th
1.0
6.280 -0.123 3.436
2.437 6.917 3.285
4.020 -0.250 11.132
Ho Pr Th
7 4 1
Direct
0.500 0.000 0.000
0.001 0.672 0.328
0.753 0.496 0.000
0.999 0.328 0.672
0.754 0.163 0.328
0.246 0.837 0.672
0.247 0.504 0.000
0.741 0.832 0.671
0.493 0.331 0.670
0.507 0.669 0.330
0.259 0.168 0.329
0.000 0.000 0.000
```

2.
Pr4Ho7Th: relaxed, PBE.

Cell and atoms, written as POSCAR:
```
Pr4Ho7Th
1.0
-3.503 0.650 4.802
-2.301 -10.927 3.523
3.183 0.473 5.981
Ho Pr Th
7 4 1
Direct
0.369 0.495 0.768
0.787 0.924 0.503
0.213 0.076 0.497
0.068 0.686 0.178
0.631 0.505 0.232
0.932 0.314 0.822
0.500 0.000 0.000
0.225 0.334 0.217
0.775 0.666 0.783
0.639 0.223 0.500
0.361 0.777 0.500
0.000 0.000 0.000
```

Here are the energies relative to the best structure, in meV/atom: 1 0; 2 264.